Entry 1:
LiAcIr: relaxed, PBE-GGA.

Unit cell a=3.924 b=3.924 c=8.975 alpha=90.00 beta=90.00 gamma=90.00
Element x y z (fractional)
Li  0.000  0.000  0.000
Li  0.500  0.500  0.500
Ac  0.000  0.000  0.684
Ac  0.500  0.500  0.184
Ir  0.000  0.000  0.326
Ir  0.500  0.500  0.826

Summary:
Total magnetization in Bohr magnetons per cell: 0.0
Energy above the lowest structure with this stoichiometry in meV/atom: 319
E_form in meV per atom: -113

Entry 2:
VIn2Cu: relaxed, PBE-GGA.

Unit cell a=7.407 b=7.407 c=5.793 alpha=90.00 beta=90.00 gamma=90.00
Element x y z (fractional)
V  0.000  0.000  0.000
V  0.000  0.500  0.250
V  0.500  0.000  0.750
V  0.500  0.500  0.500
In  0.222  0.250  0.625
In  0.250  0.722  0.875
In  0.250  0.778  0.375
In  0.278  0.250  0.125
In  0.722  0.750  0.125
In  0.750  0.222  0.375
In  0.750  0.278  0.875
In  0.778  0.750  0.625
Cu  0.000  0.000  0.500
Cu  0.000  0.500  0.750
Cu  0.500  0.000  0.250
Cu  0.500  0.500  0.000

Summary:
Total magnetization in Bohr magnetons per cell: 8.7
E_form in meV per atom: 474

Entry 3:
InGeSb: relaxed, PBE-GGA.

Unit cell a=7.520 b=7.520 c=5.732 alpha=90.00 beta=90.00 gamma=90.00
Element x y z (fractional)
In  0.000  0.204  0.000
In  0.000  0.796  0.000
In  0.204  0.000  0.500
In  0.796  0.000  0.500
Ge  0.251  0.500  0.000
Ge  0.500  0.251  0.500
Ge  0.500  0.749  0.500
Ge  0.749  0.500  0.000
Sb  0.211  0.500  0.500
Sb  0.500  0.211  0.000
Sb  0.500  0.789  0.000
Sb  0.789  0.500  0.500

Summary:
Total magnetization in Bohr magnetons per cell: 0.0
Energy above the lowest structure with this stoichiometry in meV/atom: 102

Entry 4:
AcSmSnI: relaxed, PBE-GGA.

Unit cell a=8.028 b=8.028 c=8.028 alpha=90.00 beta=90.00 gamma=90.00
Element x y z (fractional)
Ac  0.000  0.000  0.000
Ac  0.000  0.500  0.500
Ac  0.500  0.000  0.500
Ac  0.500  0.500  0.000
Sm  0.000  0.000  0.500
Sm  0.000  0.500  0.000
Sm  0.500  0.000  0.000
Sm  0.500  0.500  0.500
Sn  0.250  0.250  0.750
Sn  0.250  0.750  0.250
Sn  0.750  0.250  0.250
Sn  0.750  0.750  0.750
I  0.250  0.250  0.250
I  0.250  0.750  0.750
I  0.750  0.250  0.750
I  0.750  0.750  0.250

Summary:
Total magnetization in Bohr magnetons per cell: 0.0

Entry 5:
La2TbHoTm4: relaxed, PBE-GGA.

Unit cell a=9.485 b=9.485 c=6.784 alpha=110.95 beta=110.95 gamma=88.30
Element x y z (fractional)
La  0.000  0.000  0.000
La  0.000  0.000  0.500
La  0.000  0.500  0.000
La  0.500  0.000  0.500
Tb  0.500  0.500  0.000
Tb  0.500  0.500  0.500
Ho  0.000  0.500  0.500
Ho  0.500  0.000  0.000
Tm  0.251  0.255  0.504
Tm  0.252  0.748  0.503
Tm  0.252  0.748  0.997
Tm  0.255  0.251  0.004
Tm  0.745  0.749  0.996
Tm  0.748  0.252  0.003
Tm  0.748  0.252  0.497
Tm  0.749  0.745  0.496

Summary:
Total magnetization in Bohr magnetons per cell: 0.5
E_form in meV per atom: 418

Entry 6:
TaCd2Ru: relaxed, PBE-GGA.

Unit cell a=5.434 b=9.190 c=2.887 alpha=90.00 beta=90.00 gamma=90.00
Element x y z (fractional)
Ta  0.000  0.000  0.000
Ta  0.500  0.500  0.000
Cd  0.250  0.250  0.500
Cd  0.250  0.750  0.500
Cd  0.750  0.250  0.500
Cd  0.750  0.750  0.500
Ru  0.000  0.500  0.000
Ru  0.500  0.000  0.000

Summary:
Total magnetization in Bohr magnetons per cell: 0.9
Energy above the lowest structure with this stoichiometry in meV/atom: 364
E_form in meV per atom: 377

Entry 7:
CoHSBr: relaxed, PBE-GGA.

Unit cell a=6.936 b=3.381 c=6.395 alpha=90.00 beta=96.88 gamma=90.00
Element x y z (fractional)
Co  0.000  0.000  0.000
Co  0.500  0.500  0.000
H  0.225  0.000  0.722
H  0.725  0.500  0.722
S  0.421  0.000  0.784
S  0.921  0.500  0.784
Br  0.193  0.500  0.207
Br  0.693  0.000  0.207

Summary:
Total magnetization in Bohr magnetons per cell: 2.0
Energy above the lowest structure with this stoichiometry in meV/atom: 75

Entry 8:
La2Nd12Y: relaxed, PBE-GGA.

Unit cell a=6.640 b=6.640 c=25.620 alpha=90.00 beta=90.00 gamma=90.00
Element x y z (fractional)
La  0.250  0.750  0.235
La  0.250  0.750  0.765
La  0.750  0.250  0.235
La  0.750  0.250  0.765
Nd  0.062  0.562  0.387
Nd  0.062  0.938  0.613
Nd  0.082  0.582  0.938
Nd  0.082  0.918  0.062
Nd  0.250  0.250  0.162
Nd  0.250  0.250  0.285
Nd  0.250  0.250  0.715
Nd  0.250  0.250  0.838
Nd  0.418  0.582  0.062
Nd  0.418  0.918  0.938
Nd  0.438  0.562  0.613
Nd  0.438  0.938  0.387
Nd  0.562  0.062  0.613
Nd  0.562  0.438  0.387
Nd  0.582  0.082  0.062
Nd  0.582  0.418  0.938
Nd  0.750  0.750  0.162
Nd  0.750  0.750  0.285
Nd  0.750  0.750  0.715
Nd  0.750  0.750  0.838
Nd  0.918  0.082  0.938
Nd  0.918  0.418  0.062
Nd  0.938  0.062  0.387
Nd  0.938  0.438  0.613
Y  0.250  0.750  0.500
Y  0.750  0.250  0.500

Summary:
Total magnetization in Bohr magnetons per cell: 0.0
E_form in meV per atom: 297

Number 1: total energy -5.07 eV/atom. Number 2: total energy -4.20 eV/atom. Number 3: total energy -3.65 eV/atom. Number 4: total energy -4.35 eV/atom. Number 5: total energy -4.20 eV/atom. Number 6: total energy -5.36 eV/atom. Number 7: total energy -4.19 eV/atom. Number 8: total energy -4.61 eV/atom.